[1]
Crystalline MgFe at its relaxed geometry. Source: the Alexandria database, functional PBE-GGA. Values from VASP.

Results
Its total magnetization is 2.8 μB/f.u. As for the mass density: 2473 kg/m³. Its crystal system is cubic. Its formation energy is 1.68 eV per atom.

```
&SYSTEM
  ibrav = 0, nat = 2, ntyp = 2
/
ATOMIC_SPECIES
Fe 55.84 Fe.upf
Mg 24.30 Mg.upf
CELL_PARAMETERS angstrom
4.2378 0.0000 0.0000
2.1189 3.6700 0.0000
2.1189 1.2233 3.4602
ATOMIC_POSITIONS crystal
Fe 0.0000 0.0000 0.0000
Mg 0.7500 0.7500 0.7500
```

[2]
Crystalline LaZr2Nb at its relaxed geometry. Source: the Alexandria database, functional PBE-GGA. Values from VASP.

Results
Its total magnetization is 0.0 μB/f.u. As for the mass density: 7364 kg/m³. Its crystal system is cubic. Its formation energy is 0.28 eV per atom. The offset from the most stable computed form is 157 meV/atom.

```
&SYSTEM
  ibrav = 0, nat = 4, ntyp = 3
/
ATOMIC_SPECIES
Nb 92.91 Nb.upf
Zr 91.22 Zr.upf
La 138.91 La.upf
CELL_PARAMETERS angstrom
0.0000 3.6013 3.6013
3.6013 0.0000 3.6013
3.6013 3.6013 0.0000
ATOMIC_POSITIONS crystal
Nb 0.0000 0.0000 0.0000
Zr 0.2500 0.2500 0.2500
Zr 0.7500 0.7500 0.7500
La 0.5000 0.5000 0.5000
```

[3]
Crystalline PaGaB at its relaxed geometry. Source: the Alexandria database, functional PBE-GGA. Values from VASP.

Results
Its total magnetization is 0.0 μB/f.u. As for the mass density: 10873 kg/m³. Its crystal system is orthorhombic. Its formation energy is -0.36 eV per atom. The offset from the most stable computed form is 0 meV/atom.

```
&SYSTEM
  ibrav = 0, nat = 6, ntyp = 3
/
ATOMIC_SPECIES
Pa 231.04 Pa.upf
Ga 69.72 Ga.upf
B 10.81 B.upf
CELL_PARAMETERS angstrom
4.3131 0.0000 -0.1101
0.0000 3.2591 0.0000
-1.9861 -1.6296 6.8209
ATOMIC_POSITIONS crystal
Pa 0.5985 0.8486 0.6972
Pa 0.4015 0.1514 0.3028
Ga 0.2005 0.4504 0.9008
Ga 0.7995 0.5496 0.0992
B 0.0275 0.2772 0.5544
B 0.9725 0.7228 0.4456
```

[4]
Crystalline Nb2WS2 at its relaxed geometry. Source: the Alexandria database, functional PBE-GGA. Values from VASP.

Results
Its total magnetization is 0.0 μB/f.u. As for the mass density: 8933 kg/m³. Its crystal system is tetragonal. Its uncorrected formation energy is 0.6 eV/f.u.

```
&SYSTEM
  ibrav = 0, nat = 10, ntyp = 3
/
ATOMIC_SPECIES
Nb 92.91 Nb.upf
S 32.06 S.upf
W 183.84 W.upf
CELL_PARAMETERS angstrom
-6.3820 0.4336 3.6329
-3.6208 -1.7972 -6.1462
0.2128 -2.8846 0.7181
ATOMIC_POSITIONS crystal
Nb 0.3482 0.8482 0.0000
Nb 0.8482 0.6518 0.0000
Nb 0.6518 0.1518 0.0000
Nb 0.1518 0.3482 0.0000
S 0.1419 0.6419 0.5000
S 0.6419 0.8581 0.5000
S 0.8581 0.3581 0.5000
S 0.3581 0.1419 0.5000
W 0.0000 0.0000 0.0000
W 0.5000 0.5000 0.0000
```

[5]
Crystalline AlIn3 at its relaxed geometry. Source: the Alexandria database, functional PBE-GGA. Values from VASP.

Results
Its total magnetization is 0.0 μB/f.u. As for the mass density: 6187 kg/m³. Its crystal system is hexagonal. Its formation energy is 0.12 eV per atom.

```
&SYSTEM
  ibrav = 0, nat = 4, ntyp = 2
/
ATOMIC_SPECIES
Al 26.98 Al.upf
In 114.82 In.upf
CELL_PARAMETERS angstrom
3.2663 0.0000 0.0000
-1.6332 2.8287 0.0000
0.0000 0.0000 10.7888
ATOMIC_POSITIONS crystal
Al 0.0000 0.0000 0.0000
In 0.0000 0.0000 0.5000
In 0.6667 0.3333 0.2358
In 0.6667 0.3333 0.7642
```

[6]
Crystalline SiAgMo2 at its relaxed geometry. Source: the Alexandria database, functional PBE-GGA. Values from VASP.

Results
Its total magnetization is 0.0 μB/f.u. As for the mass density: 8819 kg/m³. Its crystal system is monoclinic. Its uncorrected formation energy is 1.2 eV/f.u.

```
&SYSTEM
  ibrav = 0, nat = 4, ntyp = 3
/
ATOMIC_SPECIES
Ag 107.87 Ag.upf
Mo 95.94 Mo.upf
Si 28.09 Si.upf
CELL_PARAMETERS angstrom
5.0486 -0.0119 -0.0089
-2.6094 4.9381 0.0130
0.2745 1.0961 2.4805
ATOMIC_POSITIONS crystal
Ag 0.5000 0.0000 0.5000
Mo 0.0000 0.0000 0.0000
Mo 0.0000 0.5000 0.5000
Si 0.5000 0.5000 0.0000
```

DOS at the Fermi energy, respectively: 4.8 8.1 6.5 4.6 1.2 2.4 states/eV/cell.
V, respectively: 53.8 93.4 95.2 161.3 99.7 61.7 Å³ per cell.
E, respectively: -6.69 -30.97 -20.27 -40.75 -11.47 -28.78 eV per formula unit.